1.
# GGA-PBE YCd3Sb, optimized geometry
# Relative energy among the computed polymorphs = 330 meV per atom
# Electronic total energy = -1.8793 eV/atom
# Formation energy without anion corrections = 3.94 eV per formula unit
data_YCd3Sb
_chemical_formula_sum 'Y1 Cd3 Sb1'
_symmetry_space_group_name_H-M 'P m -3 m'
_symmetry_Int_Tables_number 221
_symmetry_space_group_name_Hall '-P 4 2 3'
_cell_length_a 5.7598
_cell_length_b 5.7598
_cell_length_c 5.7598
_cell_angle_alpha 90.00
_cell_angle_beta 90.00
_cell_angle_gamma 90.00
loop_
_atom_site_label
_atom_site_fract_x
_atom_site_fract_y
_atom_site_fract_z
Y1 0.0000 0.0000 0.0000
Cd1 0.0000 0.0000 0.5000
Sb1 0.5000 0.5000 0.5000

***

2.
# GGA-PBE K3ZrC, optimized geometry
# Relative energy among the computed polymorphs = 0 meV per atom
# E_form = 1723 meV/atom
# Electronic total energy = -2.4897 eV/atom
data_K3ZrC
_chemical_formula_sum 'K3 Zr1 C1'
_symmetry_space_group_name_H-M 'P m -3 m'
_symmetry_Int_Tables_number 221
_symmetry_space_group_name_Hall '-P 4 2 3'
_cell_length_a 5.8851
_cell_length_b 5.8851
_cell_length_c 5.8851
_cell_angle_alpha 90.00
_cell_angle_beta 90.00
_cell_angle_gamma 90.00
loop_
_atom_site_label
_atom_site_fract_x
_atom_site_fract_y
_atom_site_fract_z
K1 0.0000 0.0000 0.5000
Zr1 0.5000 0.5000 0.5000
C1 0.0000 0.0000 0.0000

***

3.
# GGA-PBE Sr2RuSe, optimized geometry
# Electronic total energy = -4.5382 eV/atom
# Formation energy without anion corrections = -2.03 eV per formula unit
data_Sr2RuSe
_chemical_formula_sum 'Sr4 Ru2 Se2'
_symmetry_space_group_name_H-M 'A m m 2'
_symmetry_Int_Tables_number 38
_cell_length_a 4.0349
_cell_length_b 4.6391
_cell_length_c 11.5604
_cell_angle_alpha 90.00
_cell_angle_beta 90.00
_cell_angle_gamma 90.00
loop_
_symmetry_equiv_pos_as_xyz
'x,y,z'
'-x,-y,z'
'-x,y,z'
'x,-y,z'
'x,y+1/2,z+1/2'
'-x,-y+1/2,z+1/2'
'-x,y+1/2,z+1/2'
'x,-y+1/2,z+1/2'
loop_
_atom_site_label
_atom_site_fract_x
_atom_site_fract_y
_atom_site_fract_z
Sr1 0.0000 0.0000 0.0000
Sr2 0.5000 0.0000 0.2784
Ru1 0.0000 0.0000 0.7086
Se1 0.5000 0.0000 0.5784

***

4.
# GGA-PBE NaCdPb, optimized geometry
# Relative energy among the computed polymorphs = 61 meV per atom
# E_form = -44 meV/atom
# Electronic total energy = -2.0248 eV/atom
data_NaCdPb
_chemical_formula_sum 'Na4 Cd4 Pb4'
_symmetry_space_group_name_H-M 'F -4 3 m'
_symmetry_Int_Tables_number 216
_symmetry_space_group_name_Hall 'F -4 2 3'
_cell_length_a 7.1241
_cell_length_b 7.1241
_cell_length_c 7.1241
_cell_angle_alpha 90.00
_cell_angle_beta 90.00
_cell_angle_gamma 90.00
loop_
_atom_site_label
_atom_site_fract_x
_atom_site_fract_y
_atom_site_fract_z
Na1 0.0000 0.0000 0.0000
Cd1 0.2500 0.2500 0.7500
Pb1 0.0000 0.0000 0.5000

***

5.
# GGA-PBE ZrNb2FeRe, optimized geometry
# E_form = 858 meV/atom
# Electronic total energy = -9.0616 eV/atom
data_ZrNb2FeRe
_chemical_formula_sum 'Zr1 Nb2 Fe1 Re1'
_symmetry_space_group_name_H-M 'P 4/m m m'
_symmetry_Int_Tables_number 123
_symmetry_space_group_name_Hall '-P 4 2'
_cell_length_a 4.5037
_cell_length_b 4.5037
_cell_length_c 4.7277
_cell_angle_alpha 90.00
_cell_angle_beta 90.00
_cell_angle_gamma 90.00
loop_
_atom_site_label
_atom_site_fract_x
_atom_site_fract_y
_atom_site_fract_z
Zr1 0.0000 0.0000 0.0000
Nb1 0.0000 0.5000 0.5000
Fe1 0.0000 0.0000 0.5000
Re1 0.5000 0.5000 0.0000

***

6.
# GGA-PBE PmGeAu4, optimized geometry
# Relative energy among the computed polymorphs = 0 meV per atom
# E_form = -425 meV/atom
# Electronic total energy = -4.1713 eV/atom
data_PmGeAu4
_chemical_formula_sum 'Pm2 Ge2 Au8'
_symmetry_space_group_name_H-M 'P m m a'
_symmetry_Int_Tables_number 51
_cell_length_a 7.7471
_cell_length_b 4.0644
_cell_length_c 7.9404
_cell_angle_alpha 90.00
_cell_angle_beta 90.00
_cell_angle_gamma 90.00
loop_
_symmetry_equiv_pos_as_xyz
'x,y,z'
'-x,-y,-z'
'-x+1/2,-y,z'
'x+1/2,y,-z'
'x+1/2,-y,-z'
'-x+1/2,y,z'
'-x,y,-z'
'x,-y,z'
loop_
_atom_site_label
_atom_site_fract_x
_atom_site_fract_y
_atom_site_fract_z
Pm1 0.2500 0.0000 0.0997
Ge1 0.2500 0.0000 0.7076
Au1 0.0000 0.0000 0.5000
Au2 0.0577 0.5000 0.8328
Au3 0.2500 0.5000 0.3880

***

7.
# GGA-PBE Ga2HgCl8, optimized geometry
# Relative energy among the computed polymorphs = 5 meV per atom
# Electronic total energy = -2.8915 eV/atom
# Formation energy without anion corrections = -10.68 eV per formula unit
data_Ga2HgCl8
_chemical_formula_sum 'Ga4 Hg2 Cl16'
_symmetry_space_group_name_H-M 'C 1 2/m 1'
_symmetry_Int_Tables_number 12
_cell_length_a 12.5664
_cell_length_b 9.4726
_cell_length_c 6.2746
_cell_angle_alpha 90.00
_cell_angle_beta 96.44
_cell_angle_gamma 90.00
loop_
_symmetry_equiv_pos_as_xyz
'x,y,z'
'-x,-y,-z'
'-x,y,-z'
'x,-y,z'
'x+1/2,y+1/2,z'
'-x+1/2,-y+1/2,-z'
'-x+1/2,y+1/2,-z'
'x+1/2,-y+1/2,z'
loop_
_atom_site_label
_atom_site_fract_x
_atom_site_fract_y
_atom_site_fract_z
Ga1 0.1998 0.0000 0.1542
Hg1 0.0000 0.0000 0.5000
Cl1 0.1049 0.1812 0.2696
Cl2 0.1353 0.5000 0.7155
Cl3 0.1889 0.0000 0.8000

***

8.
# GGA-PBE HgSeO4F, optimized geometry
# Electronic total energy = -4.0958 eV/atom
# Formation energy without anion corrections = -3.18 eV per formula unit
data_HgSeO4F
_chemical_formula_sum 'Hg4 Se4 O16 F4'
_symmetry_space_group_name_H-M 'C 1 2/m 1'
_symmetry_Int_Tables_number 12
_cell_length_a 8.4059
_cell_length_b 7.0267
_cell_length_c 8.6112
_cell_angle_alpha 90.00
_cell_angle_beta 113.58
_cell_angle_gamma 90.00
loop_
_symmetry_equiv_pos_as_xyz
'x,y,z'
'-x,-y,-z'
'-x,y,-z'
'x,-y,z'
'x+1/2,y+1/2,z'
'-x+1/2,-y+1/2,-z'
'-x+1/2,y+1/2,-z'
'x+1/2,-y+1/2,z'
loop_
_atom_site_label
_atom_site_fract_x
_atom_site_fract_y
_atom_site_fract_z
Hg1 0.1887 0.0000 0.2036
Se1 0.1498 0.5000 0.2961
O1 0.0343 0.5000 0.6637
O2 0.1544 0.3184 0.1697
O3 0.1931 0.0000 0.5124
F1 0.0817 0.0000 0.8880

***

9.
# GGA-PBE MgGa2SeS6, optimized geometry
# Electronic total energy = -4.0474 eV/atom
# Formation energy without anion corrections = -4.58 eV per formula unit
data_MgGa2SeS6
_chemical_formula_sum 'Mg4 Ga8 Se4 S24'
_symmetry_space_group_name_H-M 'C 1 2/c 1'
_symmetry_Int_Tables_number 15
_cell_length_a 12.2909
_cell_length_b 10.8832
_cell_length_c 6.6644
_cell_angle_alpha 90.00
_cell_angle_beta 103.21
_cell_angle_gamma 90.00
loop_
_symmetry_equiv_pos_as_xyz
'x,y,z'
'-x,-y,-z'
'-x,y,-z+1/2'
'x,-y,z+1/2'
'x+1/2,y+1/2,z'
'-x+1/2,-y+1/2,-z'
'-x+1/2,y+1/2,-z+1/2'
'x+1/2,-y+1/2,z+1/2'
loop_
_atom_site_label
_atom_site_fract_x
_atom_site_fract_y
_atom_site_fract_z
Mg1 0.0000 0.1001 0.2500
Ga1 0.1824 0.4087 0.2368
Se1 0.0000 0.2385 0.7500
S1 0.1090 0.0923 0.6399
S2 0.1352 0.2202 0.1014
S3 0.1399 0.4174 0.5522

***

10.
# GGA-PBE CuTcCl2, optimized geometry
# Relative energy among the computed polymorphs = 482 meV per atom
# Electronic total energy = -4.0616 eV/atom
# Formation energy without anion corrections = 1.91 eV per formula unit
data_CuTcCl2
_chemical_formula_sum 'Cu1 Tc1 Cl2'
_symmetry_space_group_name_H-M 'P m m m'
_symmetry_Int_Tables_number 47
_cell_length_a 3.0798
_cell_length_b 4.0039
_cell_length_c 5.9197
_cell_angle_alpha 90.00
_cell_angle_beta 90.00
_cell_angle_gamma 90.00
loop_
_symmetry_equiv_pos_as_xyz
'x,y,z'
'-x,-y,-z'
'-x,-y,z'
'x,y,-z'
'x,-y,-z'
'-x,y,z'
'-x,y,-z'
'x,-y,z'
loop_
_atom_site_label
_atom_site_fract_x
_atom_site_fract_y
_atom_site_fract_z
Cu1 0.0000 0.0000 0.0000
Tc1 0.5000 0.0000 0.5000
Cl1 0.0000 0.5000 0.5000
Cl2 0.5000 0.5000 0.0000

***

11.
# GGA-PBE Nd2GdTm, optimized geometry
# Relative energy among the computed polymorphs = 91 meV per atom
# E_form = 104 meV/atom
# Electronic total energy = -6.9175 eV/atom
data_Nd2GdTm
_chemical_formula_sum 'Nd8 Gd4 Tm4'
_symmetry_space_group_name_H-M 'F m -3 m'
_symmetry_Int_Tables_number 225
_symmetry_space_group_name_Hall '-F 4 2 3'
_cell_length_a 8.1221
_cell_length_b 8.1221
_cell_length_c 8.1221
_cell_angle_alpha 90.00
_cell_angle_beta 90.00
_cell_angle_gamma 90.00
loop_
_atom_site_label
_atom_site_fract_x
_atom_site_fract_y
_atom_site_fract_z
Nd1 0.2500 0.2500 0.2500
Gd1 0.0000 0.0000 0.0000
Tm1 0.0000 0.0000 0.5000

***

12.
# GGA-PBE AlZn2Rh, optimized geometry
# E_form = -144 meV/atom
# Electronic total energy = -3.5549 eV/atom
data_AlZn2Rh
_chemical_formula_sum 'Al3 Zn6 Rh3'
_symmetry_space_group_name_H-M 'R -3 m'
_symmetry_Int_Tables_number 166
_symmetry_space_group_name_Hall '-R 3 2"'
_cell_length_a 2.8600
_cell_length_b 2.8600
_cell_length_c 25.4798
_cell_angle_alpha 90.00
_cell_angle_beta 90.00
_cell_angle_gamma 120.00
loop_
_atom_site_label
_atom_site_fract_x
_atom_site_fract_y
_atom_site_fract_z
Al1 0.0000 0.0000 0.0000
Zn1 0.0000 0.0000 0.2463
Rh1 0.0000 0.0000 0.5000

***

13.
# GGA-PBE NdGe3Au, optimized geometry
# E_form = -389 meV/atom
# Electronic total energy = -4.7680 eV/atom
data_NdGe3Au
_chemical_formula_sum 'Nd2 Ge6 Au2'
_symmetry_space_group_name_H-M 'P 1 21/m 1'
_symmetry_Int_Tables_number 11
_cell_length_a 5.8649
_cell_length_b 6.0752
_cell_length_c 5.9414
_cell_angle_alpha 90.00
_cell_angle_beta 95.78
_cell_angle_gamma 90.00
loop_
_symmetry_equiv_pos_as_xyz
'x,y,z'
'-x,-y,-z'
'-x,y+1/2,-z'
'x,-y+1/2,z'
loop_
_atom_site_label
_atom_site_fract_x
_atom_site_fract_y
_atom_site_fract_z
Nd1 0.1862 0.2500 0.1644
Ge1 0.3286 0.7500 0.0683
Ge2 0.3331 0.5197 0.6803
Au1 0.0259 0.7500 0.3619

***

14.
# GGA-PBE CsBWSe2, optimized geometry
# Electronic total energy = -2.3746 eV/atom
# Formation energy without anion corrections = 15.58 eV per formula unit
data_CsBWSe2
_chemical_formula_sum 'Cs1 B1 W1 Se2'
_symmetry_space_group_name_H-M 'P 4/m m m'
_symmetry_Int_Tables_number 123
_symmetry_space_group_name_Hall '-P 4 2'
_cell_length_a 5.6435
_cell_length_b 5.6435
_cell_length_c 4.6944
_cell_angle_alpha 90.00
_cell_angle_beta 90.00
_cell_angle_gamma 90.00
loop_
_atom_site_label
_atom_site_fract_x
_atom_site_fract_y
_atom_site_fract_z
Cs1 0.0000 0.0000 0.0000
B1 0.0000 0.0000 0.5000
W1 0.5000 0.5000 0.5000
Se1 0.0000 0.5000 0.0000

***

15.
# GGA-PBE RbCo, optimized geometry
# Relative energy among the computed polymorphs = 234 meV per atom
# E_form = 911 meV/atom
# Electronic total energy = -3.1253 eV/atom
data_RbCo
_chemical_formula_sum 'Rb6 Co6'
_symmetry_space_group_name_H-M 'P 63/m m c'
_symmetry_Int_Tables_number 194
_symmetry_space_group_name_Hall '-P 6c 2c'
_cell_length_a 12.5651
_cell_length_b 12.5651
_cell_length_c 3.8579
_cell_angle_alpha 90.00
_cell_angle_beta 90.00
_cell_angle_gamma 120.00
loop_
_atom_site_label
_atom_site_fract_x
_atom_site_fract_y
_atom_site_fract_z
Rb1 0.2083 0.4166 0.2500
Co1 0.0479 0.5240 0.7500

***

16.
# GGA-PBE Os, optimized geometry
# Relative energy among the computed polymorphs = 1778 meV per atom
# E_form = 1778 meV/atom
# Electronic total energy = -9.4521 eV/atom
data_Os
_chemical_formula_sum 'Os4'
_symmetry_space_group_name_H-M 'P 63/m m c'
_symmetry_Int_Tables_number 194
_symmetry_space_group_name_Hall '-P 6c 2c'
_cell_length_a 4.2300
_cell_length_b 4.2300
_cell_length_c 4.8798
_cell_angle_alpha 90.00
_cell_angle_beta 90.00
_cell_angle_gamma 120.00
loop_
_atom_site_label
_atom_site_fract_x
_atom_site_fract_y
_atom_site_fract_z
Os1 0.0000 0.0000 0.2500
Os2 0.3333 0.6667 0.2500

***

17.
# GGA-PBE Rb2TbCu2Se4, optimized geometry
# Electronic total energy = -4.2463 eV/atom
# Formation energy without anion corrections = -9.52 eV per formula unit
data_Rb2TbCu2Se4
_chemical_formula_sum 'Rb4 Tb2 Cu4 Se8'
_symmetry_space_group_name_H-M 'C 1 2/m 1'
_symmetry_Int_Tables_number 12
_cell_length_a 15.1923
_cell_length_b 4.0743
_cell_length_c 8.2388
_cell_angle_alpha 90.00
_cell_angle_beta 108.45
_cell_angle_gamma 90.00
loop_
_symmetry_equiv_pos_as_xyz
'x,y,z'
'-x,-y,-z'
'-x,y,-z'
'x,-y,z'
'x+1/2,y+1/2,z'
'-x+1/2,-y+1/2,-z'
'-x+1/2,y+1/2,-z'
'x+1/2,-y+1/2,z'
loop_
_atom_site_label
_atom_site_fract_x
_atom_site_fract_y
_atom_site_fract_z
Rb1 0.1321 0.0000 0.0549
Tb1 0.0000 0.0000 0.5000
Cu1 0.1813 0.5000 0.4870
Se1 0.0235 0.5000 0.2718
Se2 0.2014 0.0000 0.6688

***

18.
# GGA-PBE Ac3Ag2Sn, optimized geometry
# Relative energy among the computed polymorphs = 0 meV per atom
# E_form = -378 meV/atom
# Electronic total energy = -4.0497 eV/atom
data_Ac3Ag2Sn
_chemical_formula_sum 'Ac6 Ag4 Sn2'
_symmetry_space_group_name_H-M 'C m m m'
_symmetry_Int_Tables_number 65
_symmetry_space_group_name_Hall '-C 2 2'
_cell_length_a 5.5882
_cell_length_b 16.7543
_cell_length_c 4.1537
_cell_angle_alpha 90.00
_cell_angle_beta 90.00
_cell_angle_gamma 90.00
loop_
_atom_site_label
_atom_site_fract_x
_atom_site_fract_y
_atom_site_fract_z
Ac1 0.0000 0.0000 0.0000
Ac2 0.0000 0.3325 0.0000
Ag1 0.0000 0.1693 0.5000
Sn1 0.0000 0.5000 0.5000

***

19.
# GGA-PBE CaTbZnHg, optimized geometry
# Relative energy among the computed polymorphs = 0 meV per atom
# E_form = -408 meV/atom
# Electronic total energy = -2.4604 eV/atom
data_CaTbZnHg
_chemical_formula_sum 'Ca1 Tb1 Zn1 Hg1'
_symmetry_space_group_name_H-M 'P 4 m m'
_symmetry_Int_Tables_number 99
_cell_length_a 3.7115
_cell_length_b 3.7115
_cell_length_c 7.3472
_cell_angle_alpha 90.00
_cell_angle_beta 90.00
_cell_angle_gamma 90.00
loop_
_symmetry_equiv_pos_as_xyz
'x,y,z'
'-y,x,z'
'-x,-y,z'
'y,-x,z'
'-x,y,z'
'y,x,z'
'x,-y,z'
'-y,-x,z'
loop_
_atom_site_label
_atom_site_fract_x
_atom_site_fract_y
_atom_site_fract_z
Ca1 0.0000 0.0000 0.0000
Tb1 0.0000 0.0000 0.4801
Zn1 0.5000 0.5000 0.2596
Hg1 0.5000 0.5000 0.7295

***

20.
# GGA-PBE HoTiAl4, optimized geometry
# Relative energy among the computed polymorphs = 64 meV per atom
# E_form = -324 meV/atom
# Electronic total energy = -4.8977 eV/atom
data_HoTiAl4
_chemical_formula_sum 'Ho4 Ti4 Al16'
_symmetry_space_group_name_H-M 'C m c m'
_symmetry_Int_Tables_number 63
_symmetry_space_group_name_Hall '-C 2c 2'
_cell_length_a 4.0654
_cell_length_b 17.6730
_cell_length_c 6.3288
_cell_angle_alpha 90.00
_cell_angle_beta 90.00
_cell_angle_gamma 90.00
loop_
_atom_site_label
_atom_site_fract_x
_atom_site_fract_y
_atom_site_fract_z
Ho1 0.0000 0.0990 0.2500
Ti1 0.0000 0.2314 0.7500
Al1 0.0000 0.0769 0.7500
Al2 0.0000 0.3404 0.0430
Al3 0.0000 0.5000 0.0000